Computed, not measured: an optimized crystal structure of LaPbAu at the PBE level of DFT.

- D(E_F): 3.5 states/eV/cell
- VASP energy: -0.339 Ry per atom

a b c (Å): 6.287 4.942 7.825
angles (deg): 89.99 128.46 113.16
Positions (direct):
La (0.386, 0.422, 0.524)
La (0.324, 0.391, 0.992)
Au (0.012, 0.735, 0.145)
Au (0.012, 0.735, 0.535)
Pb (0.676, 0.067, 0.407)
Pb (0.679, 0.068, 0.928)

***

Computed, not measured: an optimized crystal structure of Mn2TcMo2 at the PBE level of DFT.

- D(E_F): 12.3 states/eV/cell
- VASP energy: -0.722 Ry per atom

a b c (Å): 6.869 6.869 2.925
angles (deg): 90.00 90.00 90.00
Positions (direct):
Mn (0.367, 0.867, 0.000)
Mn (0.633, 0.133, 0.000)
Mn (0.133, 0.367, 0.000)
Mn (0.867, 0.633, 0.000)
Mo (0.169, 0.669, 0.500)
Mo (0.831, 0.331, 0.500)
Mo (0.331, 0.169, 0.500)
Mo (0.669, 0.831, 0.500)
Tc (0.500, 0.500, 0.000)
Tc (0.000, 0.000, 0.000)

***

| no. | calculated formation energy (meV per atom) |
| --- | --- |
| 1 | -646 |
| 2 | 249 |